No. 1
DFT (GGA-PBE) results for a relaxed structure of Pr3Y2Tm2.

Cell lengths 3.5346, 8.5915, 9.0048 Å; angles 117.89, 101.32, 90.00 degrees
With the nearest neighbours (Å) after each atom.
Positions (direct):
Pr: 0.0000 0.5000 0.0000  4 Pr 3.40-3.53, 2 Y 3.52, 4 Tm 3.60
Pr: 0.2135 0.7998 0.4271  5 Pr 3.40-3.53, 3 Tm 3.51-3.65, 3 Y 3.63-3.70
Pr: 0.7865 0.2002 0.5729  5 Pr 3.40-3.53, 3 Tm 3.51-3.65, 3 Y 3.63-3.70
Y: 0.8584 0.6814 0.7168  4 Pr 3.52-3.70, 2 Y 3.53, 4 Tm 3.58-3.66
Y: 0.1416 0.3186 0.2832  4 Pr 3.52-3.70, 2 Y 3.53, 4 Tm 3.58-3.66
Tm: 0.5642 0.9088 0.1285  3 Tm 3.32-3.53, 5 Pr 3.51-3.65, 4 Y 3.58-3.66
Tm: 0.4358 0.0912 0.8715  3 Tm 3.32-3.53, 5 Pr 3.51-3.65, 4 Y 3.58-3.66

Output
- symmetry = C2/m
- energy above the lowest structure with this stoichiometry (meV per atom) = 61
- VASP energy (eV/atom) = -5.0658
- density of states at the Fermi level (states/eV per cell) = 11.47
- volume (Å³ per cell) = 236

No. 2
DFT (GGA-PBE) results for a relaxed structure of ZrFePb2.

Cell lengths 4.5878, 4.5878, 4.1790 Å; angles 90.00, 90.00, 90.04 degrees
With the nearest neighbours (Å) after each atom.
Positions (direct):
Fe: 0.0000 0.5000 0.5000  8 Pb 3.10, 4 Zr 3.24-3.25
Pb: 0.0000 0.0000 0.0000  4 Fe 3.10, 4 Zr 3.10, 4 Pb 3.24-3.25
Pb: 0.5000 0.5000 0.0000  4 Zr 3.10, 4 Fe 3.10, 4 Pb 3.24-3.25
Zr: 0.5000 0.0000 0.5000  8 Pb 3.10, 4 Fe 3.24-3.25

Output
- symmetry = P4/mmm
- energy above the lowest structure with this stoichiometry (meV per atom) = 166
- VASP energy (eV/atom) = -5.8297
- density of states at the Fermi level (states/eV per cell) = 4.07
- volume (Å³ per cell) = 88

No. 3
DFT (GGA-PBE) results for a relaxed structure of BiBSeCl2.

Cell lengths 4.1966, 6.1184, 4.1966 Å; angles 90.00, 90.00, 90.00 degrees
With the nearest neighbours (Å) after each atom.
Positions (direct):
B: 0.0000 0.0000 0.0000  4 Cl 2.10
Bi: 0.0000 0.5000 0.0000  4 Se 2.97, 2 B 3.06
Se: 0.5000 0.5000 0.5000  4 Bi 2.97
Cl: 0.0000 0.0000 0.5000  2 B 2.10
Cl: 0.5000 0.0000 0.0000  2 B 2.10

Output
- symmetry = P4/mmm
- VASP energy (eV/atom) = -3.2702
- density of states at the Fermi level (states/eV per cell) = 0.43
- volume (Å³ per cell) = 108
- energy relative to the elements, uncorrected (eV/atom) = 0.28

No. 4
DFT (GGA-PBE) results for a relaxed structure of BeZn2Tc2.

Cell lengths 3.2626, 3.2626, 7.2071 Å; angles 76.92, 76.92, 90.00 degrees
With the nearest neighbours (Å) after each atom.
Positions (direct):
Be: 0.0000 0.0000 0.0000  8 Tc 2.57
Zn: 0.7500 0.2500 0.5000  4 Zn 2.31
Zn: 0.2500 0.7500 0.5000  4 Zn 2.31
Tc: 0.4167 0.4167 0.1666  1 Tc 2.28
Tc: 0.5833 0.5833 0.8334  1 Tc 2.28

Output
- symmetry = I4/mmm
- energy above the lowest structure with this stoichiometry (meV per atom) = 294
- VASP energy (eV/atom) = -4.8798
- density of states at the Fermi level (states/eV per cell) = 4.63
- volume (Å³ per cell) = 73

The lowest volume belongs to which entry?
BeZn2Tc2